one | # P2RuPtCl

A geometry-optimized P2RuPtCl structure (PBE-GGA, Alexandria).

Geometry as POSCAR:
```
P2RuPtCl
1.0
4.495 0.000 0.000
0.000 4.495 0.000
0.000 0.000 4.813
Ru P Pt Cl
1 2 1 1
Cartesian
0.000 0.000 0.000
0.000 2.248 0.000
2.248 0.000 0.000
2.248 2.248 2.406
0.000 0.000 2.406
```

two | # P2RuPtCl

A geometry-optimized P2RuPtCl structure (PBE-GGA, Alexandria).

Geometry as POSCAR:
```
P2RuPtCl
1.0
4.634 0.000 0.000
0.000 4.634 0.000
0.000 0.000 4.890
Ru P Pt Cl
1 2 1 1
Cartesian
2.317 2.317 2.445
0.000 2.317 0.000
2.317 0.000 0.000
0.000 0.000 0.000
0.000 0.000 2.445
```

Most stable of them? one.